# 1
Below is a relaxed structure of K3YP2O8, with properties calculated at the GGA-PBE level.

## Properties
The total energy is -96.32 eV for the cell shown. Its space group is No. 164.

Geometry as extended XYZ:
```
14
Lattice="5.7039 0.0000 0.0000 -2.8519 4.9397 0.0000 0.0000 0.0000 7.8055" Properties=species:S:1:pos:R:3 pbc="T T T"
P 0.0000 3.2931 2.0152
O 2.8519 1.6466 7.3079
Y 0.0000 0.0000 3.9027
K 0.0000 0.0000 0.0000
O 2.8519 3.1128 5.2287
O 1.5821 0.9134 5.2287
O 0.0000 1.8269 2.5768
O 0.0000 3.2931 0.4976
O 1.2698 4.0263 2.5768
O 4.1218 0.9134 5.2287
K 0.0000 3.2931 5.7287
K 2.8519 1.6466 2.0768
O -1.2698 4.0263 2.5768
P 2.8519 1.6466 5.7903
```

***

# 2
Below is a relaxed structure of KYP4O12, with properties calculated at the GGA-PBE level.

## Properties
The total energy is -265.56 eV for the cell shown. Its space group is No. 15.

Geometry as extended XYZ:
```
36
Lattice="7.4769 -0.0049 0.0028 -3.2065 6.7544 0.0028 2.0404 3.2250 9.8758" Properties=species:S:1:pos:R:3 pbc="T T T"
O -0.6299 3.6437 1.1186
O 1.7095 3.0169 5.8620
P 4.1401 2.5685 0.0636
P 3.4060 4.7473 9.3775
K 6.9831 3.6945 7.4097
O 5.3369 8.7501 8.9573
P 2.1706 7.4060 9.8178
O 1.7282 7.3708 3.8250
P 2.9047 5.2272 0.5039
P 1.5682 6.4537 5.0015
Y -0.3881 8.3582 7.4097
O 5.0798 4.9745 5.5292
O 5.1313 7.2389 6.5518
Y 6.6989 1.6163 2.4718
P 1.8110 3.4985 4.4396
O 1.2310 5.0000 4.3522
O 5.8339 3.2709 3.8800
O 1.2995 5.1083 0.5913
O 1.1795 2.7356 3.3296
O 3.3746 3.7327 4.0662
O 6.9407 6.3308 8.7628
K -0.6723 6.2800 2.4718
O 2.9362 6.2418 5.8152
O 3.3627 3.7139 0.8774
O 2.9871 3.8499 8.2675
O 4.6012 6.9576 4.0195
O 3.3237 6.1246 1.6139
O 4.8333 1.6894 1.0636
O 2.9480 6.2606 9.0041
O 0.9739 1.2244 0.9241
O 4.5826 2.6037 6.0565
O 0.4769 6.7036 6.0015
O 1.4775 8.2851 8.8179
P 4.4997 6.4760 5.4418
O 5.0113 4.8663 9.2901
P 4.7426 3.5208 4.8799
```

***

# 3
Below is a relaxed structure of KYP2O6, with properties calculated at the GGA-PBE level.

## Properties
The total energy is -147.60 eV for the cell shown. Its space group is No. 15.

Geometry as extended XYZ:
```
20
Lattice="-4.3453 -4.5955 -2.4592 6.0046 -2.7120 1.6244 -4.2430 4.8696 8.5079" Properties=species:S:1:pos:R:3 pbc="T T T"
O -1.9467 -2.7372 3.4292
O -3.0224 1.7172 5.9025
O -3.0406 -1.4628 0.5782
O 0.4386 -4.1552 1.7705
O -2.6012 -4.3525 0.7973
P -4.3763 2.3722 6.2576
Y -1.4107 0.1698 6.3352
O -0.2599 -0.6009 1.9015
O -2.3239 -1.8370 5.7716
P -2.8116 -2.8271 4.6899
K -5.9158 -0.6500 4.5576
O 0.4568 -0.9752 7.0948
O -4.5954 2.3998 7.7731
P 0.2278 0.3892 2.9832
O 2.0116 -4.8378 -0.1000
O 0.0174 1.9145 6.8758
O -0.6371 0.2993 4.2438
Y -1.1731 -2.6078 1.3379
P 1.7925 -4.8101 1.4154
K 3.3320 -1.7880 3.1154
```

***

# 4
Below is a relaxed structure of K2YZrP3O12, with properties calculated at the GGA-PBE level.

## Properties
The total energy is -579.69 eV for the cell shown. Its space group is No. 198.

Geometry as extended XYZ:
```
76
Lattice="-10.1753 -2.0950 1.4755 -1.4662 -0.1955 -10.3882 2.1016 -10.2799 -0.1031" Properties=species:S:1:pos:R:3 pbc="T T T"
O -10.6212 -2.5749 -6.9193
O -3.4199 -1.6105 0.4146
O -4.1052 -6.2320 -6.1686
P -2.7248 -5.5049 -6.1864
O -5.9824 -11.0574 -7.0970
O -5.9385 -3.3178 -5.0577
O -1.6632 -6.3068 -5.4140
O -1.2445 -10.6631 -2.1223
K -4.4505 -10.8582 -3.7500
O -7.7756 -8.6602 -8.5419
Zr -2.4002 -10.2475 -0.4081
P -8.0095 -9.8803 -4.3247
K -2.8997 -3.8209 -2.7404
Y -4.2412 -2.3697 -6.2048
K -1.3257 -8.8114 -7.0243
O -4.5441 -9.9681 -8.8721
Zr -1.3739 -4.5924 -9.3787
O -0.8686 -2.9257 -8.1897
O -1.2263 -9.1184 -4.1582
P -8.0296 -7.2623 -7.9536
P -1.1203 -1.5434 -7.5112
O -0.1455 -8.4879 -9.7596
Zr -5.6158 -7.3997 -5.3073
O -7.4679 -11.2905 -3.9346
K -4.5734 -6.9234 -9.1061
P -3.8374 -7.5072 -2.2175
K -7.0052 -8.8778 -0.9220
Y -0.6477 -7.0172 -3.5274
O -8.8944 -9.2958 -3.2102
O -1.7271 -6.5139 -10.1341
O -4.4297 -7.8068 -3.6295
O 0.5217 -3.6571 -0.9026
O -4.8715 -6.8109 -1.3163
O -6.7646 -8.9485 -4.4538
P -4.7211 -10.2123 -7.3413
P -9.4010 -5.8778 -0.9615
O -7.1959 -3.2750 0.2808
O -2.5621 -6.6602 -2.3631
Zr -9.6899 -2.9011 -2.9375
O -5.7737 -4.0340 -2.6263
O -3.5785 -1.3543 -4.3008
P -4.7106 -3.2917 -9.5303
O -0.1127 -4.8746 -3.0597
O -9.5317 -7.1287 -7.5535
O -6.4649 -5.7258 -4.3775
O -8.0287 -3.8581 -3.8161
O -6.2223 -11.3230 0.6233
O -3.4743 -10.8802 -6.7363
O -7.9102 -6.1553 -1.2171
O -2.8820 -4.0870 -5.6122
O -1.3588 -0.3417 -3.5353
O -4.8497 -8.8046 -6.6807
O 0.5252 -7.7059 -1.7114
O -7.6157 -6.1566 -8.9400
O -8.7744 -9.9723 -5.6556
P -7.5133 -1.8784 -0.2795
O -3.2182 -3.6599 -9.7981
Y -6.0448 -5.0201 -0.6009
Y -8.1460 -10.7337 -7.6985
O -5.0569 -3.4284 -8.0383
O -7.2028 -7.0416 -6.6489
K -9.4106 -6.5088 -4.5657
O -3.5237 -8.8902 -1.5668
P -6.5186 -4.2239 -3.9582
O -1.0682 -8.6743 0.0364
O -9.8378 -4.5201 -1.5944
O -2.6251 -1.2677 -7.3544
P 0.1589 -7.7448 -0.2184
O -4.0841 -11.4383 -0.7742
O -10.6277 -3.7086 -4.6274
O -4.1014 -4.0392 -0.0040
O -8.3654 -1.9748 -1.5830
O -2.2671 -5.4612 -7.6775
K -0.6453 -0.8503 -0.6099
P -0.8122 -10.4950 -3.6120
K -7.8492 -3.6306 -7.3449
```

***

# 5
Below is a relaxed structure of KZnPO2, with properties calculated at the GGA-PBE level.

## Properties
The total energy is -12.14 eV for the cell shown. Its space group is No. 123.

Geometry as extended XYZ:
```
5
Lattice="-2.6145 3.6515 -0.2632 -2.1916 -1.8202 -3.4817 -4.3154 -2.7890 4.1745" Properties=species:S:1:pos:R:3 pbc="T T T"
Zn -4.5608 -0.4789 0.2148
K 0.0000 0.0000 0.0000
P -2.1577 -1.3945 2.0872
O -1.3073 1.8257 -0.1316
O -1.0958 -0.9101 -1.7409
```

***

# 6
Below is a relaxed structure of K2ZnP2O7, with properties calculated at the GGA-PBE level.

## Properties
The total energy is -301.20 eV for the cell shown. Its space group is No. 136.

Geometry as extended XYZ:
```
48
Lattice="7.9860 0.0000 0.0000 0.0000 7.9860 0.0000 0.0000 0.0000 11.4750" Properties=species:S:1:pos:R:3 pbc="T T T"
O 5.5771 7.3571 3.8959
O 1.5841 4.6219 9.6334
K 5.2012 5.2012 5.7375
O 1.0825 1.0825 9.7573
P 1.0881 1.0881 3.2240
O 1.5841 4.6219 1.8416
P 1.0881 1.0881 8.2510
P 5.0811 2.9049 8.9615
K 2.7848 2.7848 5.7375
K 6.7778 1.2082 0.0000
K 2.5205 2.5205 0.0000
O 3.9930 3.9930 9.5456
Zn 0.0000 3.9930 2.8687
O 3.3641 6.4019 9.6334
O 0.0000 0.0000 3.8081
O 7.3571 5.5771 7.5791
O 7.3571 5.5771 3.8959
O 6.9034 6.9034 9.7573
O 3.3641 6.4019 1.8416
O 2.9104 5.0755 7.4552
O 6.4019 3.3641 1.8416
K 1.2082 6.7778 0.0000
O 2.9104 5.0755 4.0198
O 4.6219 1.5841 9.6334
Zn 0.0000 3.9930 8.6062
O 3.9930 3.9930 1.9294
O 0.0000 0.0000 7.6669
O 5.0755 2.9104 7.4552
Zn 3.9930 0.0000 2.8687
P 2.9049 5.0811 8.9615
O 0.6289 2.4089 7.5791
Zn 3.9930 0.0000 8.6062
O 2.4089 0.6289 7.5791
K 6.5135 1.4725 5.7375
O 4.6219 1.5841 1.8416
P 2.9049 5.0811 2.5135
O 2.4089 0.6289 3.8959
O 6.4019 3.3641 9.6334
P 6.8979 6.8979 8.2510
O 1.0825 1.0825 1.7177
K 1.4725 6.5135 5.7375
O 6.9034 6.9034 1.7177
O 5.5771 7.3571 7.5791
P 5.0811 2.9049 2.5135
P 6.8979 6.8979 3.2240
K 5.4654 5.4654 0.0000
O 0.6289 2.4089 3.8959
O 5.0755 2.9104 4.0198
```

***

# 7
Below is a relaxed structure of KZnPO2, with properties calculated at the GGA-PBE level.

## Properties
The total energy is -17.48 eV for the cell shown. Its space group is No. 123.

Geometry as extended XYZ:
```
5
Lattice="-0.4125 3.6081 2.2408 -4.0433 0.3558 -1.3173 -1.4230 -2.4622 3.7027" Properties=species:S:1:pos:R:3 pbc="T T T"
O -0.2063 1.8041 1.1204
K -2.9394 0.7509 2.3131
Zn 0.0000 0.0000 0.0000
P -0.7115 -1.2311 1.8513
O -2.0216 0.1779 -0.6586
```

***

# 8
Below is a relaxed structure of KZn2P2O7, with properties calculated at the GGA-PBE level.

## Properties
The total energy is -71.40 eV for the cell shown. Its space group is No. 155.

Geometry as extended XYZ:
```
12
Lattice="5.4304 0.0000 0.0000 2.7152 4.7029 0.0000 2.7152 1.5676 7.7014" Properties=species:S:1:pos:R:3 pbc="T T T"
O 7.6271 3.3288 2.0444
O 4.4997 1.1361 2.0444
Zn 8.1456 4.7029 6.3859
O 0.0000 0.0000 0.0000
Zn 2.7152 1.5676 1.3154
K 5.4304 3.1352 3.8507
O 4.4997 5.1344 5.6570
O 4.1644 4.9409 2.0444
P 8.1456 4.7029 1.5988
O 4.1644 1.3296 5.6570
P 2.7152 1.5676 6.1026
O 7.6271 2.9417 5.6570
```

***

no.,calculated volume (Å³ per cell),ρ (g cm⁻³)
1,219.9,2.99
2,498.5,2.96
3,357.5,2.66
4,1155.3,3.12
5,134.0,2.08
6,731.8,2.88
7,85.0,3.27
8,196.7,2.90